# 1
Ac2BeNbO6: relaxed, PBE.

Cell lengths 5.516, 5.516, 4.173 Å; angles 90.00, 90.00, 90.00 degrees
Space group P4mm (No. 99)
Inequivalent atoms, fractional coordinates:
1 Ac 0.000 0.500 0.000 (multiplicity 2)
2 Be 0.000 0.000 0.455 (multiplicity 1)
3 Nb 0.500 0.500 0.521 (multiplicity 1)
4 O 0.000 0.000 0.072 (multiplicity 1)
5 O 0.239 0.239 0.540 (multiplicity 4)
6 O 0.500 0.500 0.024 (multiplicity 1)

Values from the calculation:
Size of the total moment ... 0.100 μB per atom
E ... -79.90 eV per cell

=====

# 2
AcBe2NbO6: relaxed, PBE.

Cell lengths 5.1677, 5.1677, 16.4422 Å; angles 90.00, 90.00, 120.00 degrees
Space group R-3 (No. 148, hexagonal axes)
Inequivalent atoms, fractional coordinates:
1 Ac 0.0000 0.0000 0.0000 (multiplicity 3)
2 Be 0.0000 0.0000 0.2340 (multiplicity 6)
3 Nb 0.0000 0.0000 0.5000 (multiplicity 3)
4 O 0.0105 0.6108 0.9059 (multiplicity 18)

Values from the calculation:
Size of the total moment ... 0.000 μB per atom
E ... -238.66 eV per cell

=====

# 3
AcNd2Be: relaxed, PBE.

Cell lengths 3.6836, 3.6836, 35.5509 Å; angles 90.00, 90.00, 120.00 degrees
Space group R-3m (No. 166, hexagonal axes)
Inequivalent atoms, fractional coordinates:
1 Ac 0.0000 0.0000 0.0000 (multiplicity 3)
2 Nd 0.0000 0.0000 0.4177 (multiplicity 6)
3 Be 0.0000 0.0000 0.5000 (multiplicity 3)

Values from the calculation:
Size of the total moment ... 0.000 μB per atom
Calculated formation energy ... 0.75 eV per atom
E ... -43.10 eV per cell
Relative energy among the computed polymorphs ... 0.619 eV per atom

=====

# 4
AcNd2Be: relaxed, PBE.

Cell lengths 3.655, 3.655, 9.153 Å; angles 90.00, 90.00, 90.00 degrees
Space group P4/mmm (No. 123)
Inequivalent atoms, fractional coordinates:
1 Ac 0.000 0.000 0.000 (multiplicity 1)
2 Nd 0.500 0.500 0.320 (multiplicity 2)
3 Be 0.000 0.000 0.500 (multiplicity 1)

Values from the calculation:
Size of the total moment ... 0.000 μB per atom
Calculated formation energy ... 0.13 eV per atom
E ... -16.85 eV per cell
Relative energy among the computed polymorphs ... 0.000 eV per atom

=====

# 5
Ac2NdBe2O6: relaxed, PBE.

Cell lengths 5.5130, 5.5130, 8.4559 Å; angles 90.00, 90.00, 120.00 degrees
Space group P-3 (No. 147)
Inequivalent atoms, fractional coordinates:
1 Ac 0.3333 0.6667 0.2140 (multiplicity 2)
2 Nd 0.0000 0.0000 0.5000 (multiplicity 1)
3 Be 0.3333 0.6667 0.6714 (multiplicity 2)
4 O 0.0675 0.3712 0.6731 (multiplicity 6)

Values from the calculation:
Size of the total moment ... 0.033 μB per atom
E ... -81.01 eV per cell

=====

# 6
AcBeNi2: relaxed, PBE.

Cell lengths 3.9760, 3.9760, 15.3662 Å; angles 90.00, 90.00, 120.00 degrees
Space group R-3m (No. 166, hexagonal axes)
Inequivalent atoms, fractional coordinates:
1 Ac 0.0000 0.0000 0.0000 (multiplicity 3)
2 Be 0.0000 0.0000 0.5000 (multiplicity 3)
3 Ni 0.0000 0.0000 0.1955 (multiplicity 6)

Values from the calculation:
Size of the total moment ... 0.000 μB per atom
Calculated formation energy ... -0.27 eV per atom
E ... -61.49 eV per cell

=====

# 7
Ac2BeSiNi6: relaxed, PBE.

Cell lengths 6.046, 6.095, 6.247 Å; angles 61.95, 61.33, 60.46 degrees
Space group P-1 (No. 2)
Inequivalent atoms, fractional coordinates:
1 Ac 0.217 0.216 0.350 (multiplicity 2)
2 Be 0.500 0.500 0.500 (multiplicity 1)
3 Si 0.000 0.000 0.000 (multiplicity 1)
4 Ni 0.253 0.254 0.840 (multiplicity 2)
5 Ni 0.253 0.647 0.847 (multiplicity 2)
6 Ni 0.349 0.746 0.158 (multiplicity 2)

Values from the calculation:
Size of the total moment ... 0.000 μB per atom
E ... -55.35 eV per cell

=====

# 8
AcBeSiNi6: relaxed, PBE.

Cell lengths 6.808, 7.959, 10.094 Å; angles 90.00, 90.00, 90.00 degrees
Space group Imma (No. 74)
Inequivalent atoms, fractional coordinates:
1 Ac 0.000 0.250 0.176 (multiplicity 4)
2 Be 0.000 0.000 0.500 (multiplicity 4)
3 Si 0.250 0.250 0.750 (multiplicity 4)
4 Ni 0.000 0.250 0.464 (multiplicity 4)
5 Ni 0.000 0.250 0.890 (multiplicity 4)
6 Ni 0.240 0.026 0.619 (multiplicity 16)

Values from the calculation:
Size of the total moment ... 0.000 μB per atom
E ... -189.71 eV per cell

=====

# 9
Ac2BeSi3Ni12: relaxed, PBE.

Cell lengths 6.3054, 6.3054, 23.1645 Å; angles 90.00, 90.00, 120.00 degrees
Space group R-3m (No. 166, hexagonal axes)
Inequivalent atoms, fractional coordinates:
1 Ac 0.0000 0.0000 0.1584 (multiplicity 6)
2 Be 0.0000 0.0000 0.5000 (multiplicity 3)
3 Si 0.0000 0.5000 0.0000 (multiplicity 9)
4 Ni 0.0635 0.5317 0.6219 (multiplicity 18)
5 Ni 0.0726 0.5363 0.0966 (multiplicity 18)

Values from the calculation:
Size of the total moment ... 0.000 μB per atom
E ... -299.39 eV per cell

=====

# 10
Ac2BeSi4Ni3: relaxed, PBE.

Cell lengths 4.159, 4.159, 9.950 Å; angles 90.00, 90.00, 90.00 degrees
Space group P-4m2 (No. 115)
Inequivalent atoms, fractional coordinates:
1 Ac 0.000 0.500 0.249 (multiplicity 2)
2 Be 0.500 0.500 0.000 (multiplicity 1)
3 Si 0.000 0.000 0.500 (multiplicity 1)
4 Si 0.000 0.500 0.879 (multiplicity 2)
5 Si 0.500 0.500 0.500 (multiplicity 1)
6 Ni 0.000 0.000 0.000 (multiplicity 1)
7 Ni 0.000 0.500 0.617 (multiplicity 2)

Values from the calculation:
Size of the total moment ... 0.000 μB per atom
E ... -56.96 eV per cell

=====

# 11
AcBeSi2Ni: relaxed, PBE.

Cell lengths 4.145, 4.145, 10.004 Å; angles 90.00, 90.00, 90.00 degrees
Space group I-4m2 (No. 119)
Inequivalent atoms, fractional coordinates:
1 Ac 0.000 0.000 0.000 (multiplicity 2)
2 Be 0.000 0.500 0.250 (multiplicity 2)
3 Si 0.000 0.000 0.367 (multiplicity 4)
4 Ni 0.000 0.500 0.750 (multiplicity 2)

Values from the calculation:
Size of the total moment ... 0.000 μB per atom
E ... -54.18 eV per cell

=====

# 12
Ac2NpBeO6: relaxed, PBE.

Cell lengths 5.907, 7.563, 6.487 Å; angles 90.00, 90.00, 90.00 degrees
Space group Pmmn (No. 59, origin choice 2)
Inequivalent atoms, fractional coordinates:
1 Ac 0.250 0.010 0.170 (multiplicity 4)
2 Np 0.250 0.250 0.679 (multiplicity 2)
3 Be 0.250 0.750 0.684 (multiplicity 2)
4 O 0.004 0.250 0.934 (multiplicity 4)
5 O 0.006 0.750 0.555 (multiplicity 4)
6 O 0.250 0.541 0.789 (multiplicity 4)

Values from the calculation:
Size of the total moment ... 0.300 μB per atom
E ... -167.12 eV per cell

=====

# 13
AcNpBeO6: relaxed, PBE.

Cell lengths 5.1549, 5.1549, 10.9752 Å; angles 90.00, 90.00, 120.00 degrees
Space group P-31c (No. 163)
Inequivalent atoms, fractional coordinates:
1 Ac 0.0000 0.0000 0.0000 (multiplicity 2)
2 Np 0.3333 0.6667 0.2500 (multiplicity 2)
3 Be 0.3333 0.6667 0.7500 (multiplicity 2)
4 O 0.0167 0.3822 0.6491 (multiplicity 12)

Values from the calculation:
Size of the total moment ... 0.000 μB per atom
E ... -149.86 eV per cell

=====

# 14
AcNpBe2O8: relaxed, PBE.

Cell lengths 7.593, 5.491, 7.576 Å; angles 90.00, 98.15, 90.00 degrees
Space group C2/m (No. 12)
Inequivalent atoms, fractional coordinates:
1 Ac 0.000 0.000 0.000 (multiplicity 2)
2 Np 0.000 0.000 0.500 (multiplicity 2)
3 Be 0.094 0.500 0.267 (multiplicity 4)
4 O 0.003 0.242 0.712 (multiplicity 8)
5 O 0.159 0.500 0.071 (multiplicity 4)
6 O 0.247 0.500 0.450 (multiplicity 4)

Values from the calculation:
Size of the total moment ... 0.170 μB per atom
E ... -184.48 eV per cell

=====

# 15
Ac2BeO: relaxed, PBE.

Cell lengths 3.8691, 3.8691, 27.2785 Å; angles 90.00, 90.00, 120.00 degrees
Space group R-3m (No. 166, hexagonal axes)
Inequivalent atoms, fractional coordinates:
1 Ac 0.0000 0.0000 0.1130 (multiplicity 6)
2 Be 0.0000 0.0000 0.0000 (multiplicity 3)
3 O 0.0000 0.0000 0.5000 (multiplicity 3)

Values from the calculation:
Size of the total moment ... 0.000 μB per atom
E ... -55.83 eV per cell

=====

# 16
AcBeO3: relaxed, PBE.

Cell lengths 5.4498, 5.4498, 6.7876 Å; angles 90.00, 90.00, 120.00 degrees
Space group R3m (No. 160, hexagonal axes)
Inequivalent atoms, fractional coordinates:
1 Ac 0.0000 0.0000 0.0000 (multiplicity 3)
2 Be 0.0000 0.0000 0.5413 (multiplicity 3)
3 O 0.1739 0.3478 0.2968 (multiplicity 9)

Values from the calculation:
Size of the total moment ... 0.203 μB per atom
E ... -105.22 eV per cell

=====

# 17
AcBeO3: relaxed, PBE.

Cell lengths 4.982, 4.675, 6.669 Å; angles 90.00, 109.19, 90.00 degrees
Space group P2_1/m (No. 11)
Inequivalent atoms, fractional coordinates:
1 Ac 0.104 0.250 0.272 (multiplicity 2)
2 Be 0.495 0.750 0.231 (multiplicity 2)
3 O 0.180 0.750 0.120 (multiplicity 2)
4 O 0.309 0.001 0.658 (multiplicity 4)

Values from the calculation:
Size of the total moment ... 0.042 μB per atom
E ... -71.21 eV per cell

=====

# 18
Ac3Be2O6: relaxed, PBE.

Cell lengths 3.808, 3.808, 20.598 Å; angles 90.00, 90.00, 90.00 degrees
Space group I4/mmm (No. 139)
Inequivalent atoms, fractional coordinates:
1 Ac 0.000 0.000 0.000 (multiplicity 2)
2 Ac 0.000 0.000 0.176 (multiplicity 4)
3 Be 0.000 0.000 0.394 (multiplicity 4)
4 O 0.000 0.000 0.307 (multiplicity 4)
5 O 0.000 0.500 0.093 (multiplicity 8)

Values from the calculation:
Size of the total moment ... 0.000 μB per atom
E ... -159.86 eV per cell

=====

# 19
AcBeOsO6: relaxed, PBE.

Cell lengths 5.0085, 5.0085, 10.6914 Å; angles 90.00, 90.00, 120.00 degrees
Space group P-31c (No. 163)
Inequivalent atoms, fractional coordinates:
1 Ac 0.0000 0.0000 0.0000 (multiplicity 2)
2 Be 0.3333 0.6667 0.2500 (multiplicity 2)
3 Os 0.3333 0.6667 0.7500 (multiplicity 2)
4 O 0.0064 0.3930 0.1503 (multiplicity 12)

Values from the calculation:
Size of the total moment ... 0.112 μB per atom
E ... -132.41 eV per cell

=====

# 20
Ac2BeOsO6: relaxed, PBE.

Cell lengths 5.5503, 5.5503, 27.5731 Å; angles 90.00, 90.00, 120.00 degrees
Space group R-3m (No. 166, hexagonal axes)
Inequivalent atoms, fractional coordinates:
1 Ac 0.0000 0.0000 0.1283 (multiplicity 6)
2 Ac 0.0000 0.0000 0.2903 (multiplicity 6)
3 Be 0.0000 0.0000 0.0000 (multiplicity 3)
4 Be 0.0000 0.0000 0.5000 (multiplicity 3)
5 Os 0.0000 0.0000 0.4128 (multiplicity 6)
6 O 0.0088 0.5044 0.1264 (multiplicity 18)
7 O 0.0144 0.5072 0.7057 (multiplicity 18)

Values from the calculation:
Size of the total moment ... 0.202 μB per atom
E ... -457.53 eV per cell

=====

# 21
AcBe2OsO8: relaxed, PBE.

Cell lengths 8.159, 5.219, 7.217 Å; angles 90.00, 92.44, 90.00 degrees
Space group C2/m (No. 12)
Inequivalent atoms, fractional coordinates:
1 Ac 0.000 0.000 0.000 (multiplicity 2)
2 Be 0.137 0.500 0.280 (multiplicity 4)
3 Os 0.000 0.000 0.500 (multiplicity 2)
4 O 0.025 0.249 0.313 (multiplicity 8)
5 O 0.202 0.500 0.076 (multiplicity 4)
6 O 0.219 0.000 0.557 (multiplicity 4)

Values from the calculation:
Size of the total moment ... 0.084 μB per atom
E ... -168.70 eV per cell